# 1
In3CuMo: relaxed, GGA-PBE.

Results
volume	147	Å³/cell
crystal system	cubic
E_tot	-3.71	eV/atom
excess energy over the best structure of this formula in the dataset	0.0484	eV per atom
ΔH_f (0 K)	0.923	eV per atom
ρ	5706	kg/m3

```
In3CuMo
1.0
-5.2341 -0.5967 0.2371
0.6160 -5.2161 0.4705
0.1813 0.4947 5.2470
Mo Cu In
1 1 3
direct
0.0000 0.0000 0.0000 Mo
0.5000 0.5000 0.5000 Cu
0.0000 0.5000 0.0000 In
0.0000 0.0000 0.5000 In
0.5000 0.0000 0.0000 In
```

***

# 2
BeTcI2: relaxed, GGA-PBE.

Results
volume	197	Å³/cell
crystal system	tetragonal
formation energy (no corrections)	0.8226	eV per atom
E_tot	-3.48	eV/atom
excess energy over the best structure of this formula in the dataset	0.0000	eV per atom
ρ	6068	kg/m3

```
BeTcI2
1.0
5.8693 0.0000 0.0000
0.0000 5.8693 0.0000
2.9346 2.9346 5.7330
I Be Tc
4 2 2
direct
0.5999 0.1250 0.2500 I
0.1501 0.6250 0.2500 I
0.3750 0.4001 0.7500 I
0.8750 0.8499 0.7500 I
0.5000 0.5000 0.0000 Be
0.2500 0.7500 0.5000 Be
0.0000 0.0000 0.0000 Tc
0.7500 0.2500 0.5000 Tc
```

***

- Which of these has the highest volume?
  BeTcI2

***

What did the first record say?
In3CuMo: relaxed, GGA-PBE.

Results
volume	147	Å³/cell
crystal system	cubic
E_tot	-3.71	eV/atom
excess energy over the best structure of this formula in the dataset	0.0484	eV per atom
ΔH_f (0 K)	0.923	eV per atom
ρ	5706	kg/m3

```
In3CuMo
1.0
-5.2341 -0.5967 0.2371
0.6160 -5.2161 0.4705
0.1813 0.4947 5.2470
Mo Cu In
1 1 3
direct
0.0000 0.0000 0.0000 Mo
0.5000 0.5000 0.5000 Cu
0.0000 0.5000 0.0000 In
0.0000 0.0000 0.5000 In
0.5000 0.0000 0.0000 In
```